## P
Compound: YMo2Br
Source: Alexandria
Functional: GGA-PBE
Structure: relaxed

```
YMo2Br
1.0
-2.4971 -4.6003 -7.4422
-4.5328 -6.0078 -5.1132
-5.4284 -3.0933 -6.6143
Br Mo Y
1 2 1
Direct
0.7537 0.7537 0.7537 Br
0.2601 0.2601 0.2601 Mo
0.9844 0.9844 0.9844 Mo
0.5018 0.5018 0.5018 Y
```

Results
As for the space group: R3m (160). The crystal system is trigonal.

***

## Q
Compound: YMo2Br
Source: Alexandria
Functional: GGA-PBE
Structure: relaxed

```
YMo2Br
1.0
-1.1513 -1.6545 2.2991
2.8275 -0.8186 0.8267
0.4616 6.6885 5.0444
Br Mo Y
1 2 1
Direct
0.5000 0.5000 0.7500 Br
0.0000 0.0000 0.5354 Mo
0.0000 0.0000 0.9646 Mo
0.5000 0.5000 0.2500 Y
```

Results
As for the space group: P4/mmm (123). The crystal system is tetragonal.

***

Most stable: P